! HfIn2SbC, relaxed, DFT PBE; values from VASP
&SYSTEM
  ibrav = 0, nat = 5, ntyp = 4
/
ATOMIC_SPECIES
Hf 178.49 Hf.upf
In 114.82 In.upf
Sb 121.76 Sb.upf
C 12.01 C.upf
ATOMIC_POSITIONS crystal
Hf 0.0000 0.0000 0.0000
In 0.0000 0.5000 0.5000
In 0.5000 0.0000 0.5000
Sb 0.5000 0.5000 0.5000
C 0.5000 0.5000 0.0000
CELL_PARAMETERS angstrom
5.7608 0.0000 0.0000
0.0000 5.7608 0.0000
0.0000 0.0000 4.0242
! - Total energy: -21.01 eV/cell
! - D(E_F): 5.91 states/eV/f.u.